A geometry-optimized TlAgMo2O8 structure, computed with PBE with a Hubbard U.

Total DFT energy (no corrections), eV/atom: -6.008
Density, g/cm3: 5.72
DOS at the Fermi energy, states/eV/atom: 0.311

Geometry as POSCAR:
```
TlAgMo2O8
1.0
-0.1098 -3.0162 -5.4282
5.6217 2.0129 1.7087
-1.8975 -4.0083 4.3483
Tl O Ag Mo
1 8 1 2
Direct
0.0000 0.0000 0.0000
0.3329 0.5242 0.1912
0.8017 0.1001 0.7016
0.8583 0.6671 0.1912
0.4758 0.6671 0.8088
0.3329 0.1417 0.8088
0.3984 0.1001 0.2984
0.8999 0.1983 0.2984
0.8999 0.6016 0.7016
0.2500 0.7500 0.5000
0.5000 0.5000 0.0000
0.7500 0.2500 0.5000
```